VASP calculation (PBE) on a relaxed SmMgZnPb crystal.

abc: 7.3308 7.3308 7.3308
angles: 90.00 90.00 90.00
Space group F-43m (No. 216)
One atom of each set of equivalent atoms:
Sm (0.0000, 0.0000, 0.0000) x4
Mg (0.0000, 0.0000, 0.5000) x4
Zn (0.2500, 0.2500, 0.2500) x4
Pb (0.2500, 0.2500, 0.7500) x4

Results
- V: 394.0 Å³ per cell
- Total moment: 0.0 μB/cell
- ΔE_f: -217 meV/atom
- Relative energy among the computed polymorphs: 99 meV/atom

=====

VASP calculation (PBE) on a relaxed Tm12Ga6Tc crystal.

abc: 12.6137 12.6137 11.7811
angles: 90.00 90.00 120.00
Space group R-3 (No. 148, hexagonal axes)
One atom of each set of equivalent atoms:
Tm (0.0357, 0.8246, 0.3930) x18
Tm (0.0476, 0.8462, 0.8839) x18
Ga (0.0500, 0.7813, 0.6455) x18
Tc (0.0000, 0.0000, 0.0000) x3

Results
- V: 1623.3 Å³ per cell
- Total moment: 0.0 μB/cell
- ΔE_f: -161 meV/atom

=====

VASP calculation (PBE) on a relaxed NbGaNi crystal.

abc: 4.1842 4.1842 2.8936
angles: 90.00 90.00 120.00
Space group P-6m2 (No. 187)
One atom of each set of equivalent atoms:
Nb (0.0000, 0.0000, 0.0000) x1
Ga (0.6667, 0.3333, 0.5000) x1
Ni (0.3333, 0.6667, 0.5000) x1

Results
- V: 43.9 Å³ per cell
- Total moment: 0.0 μB/cell
- ΔE_f: -334 meV/atom

=====

VASP calculation (PBE) on a relaxed Tb6TlTe crystal.

abc: 6.1695 6.1736 6.1736
angles: 89.97 89.96 89.88
Space group P-1 (No. 2)
One atom of each set of equivalent atoms:
Tb (0.0012, 0.0009, 0.2461) x2
Tb (0.2533, 0.5006, 0.0000) x2
Tb (0.4989, 0.2465, 0.5003) x2
Tl (0.5000, 0.0000, 0.0000) x1
Te (0.0000, 0.5000, 0.5000) x1

Results
- Formation energy (no corrections): -6.218 kcal/mol of atoms
- V: 235.1 Å³ per cell
- Total moment: 0.0 μB/cell

=====

VASP calculation (PBE) on a relaxed LaTb7Y2 crystal.

abc: 6.2016 7.1621 8.0063
angles: 77.13 75.03 73.37
Space group P-1 (No. 2)
One atom of each set of equivalent atoms:
La (0.0000, 0.0000, 0.0000) x1
Tb (0.0000, 0.5000, 0.0000) x1
Tb (0.1993, 0.3017, 0.5992) x2
Tb (0.4003, 0.1002, 0.2009) x2
Tb (0.4008, 0.5990, 0.2006) x2
Y (0.2023, 0.7988, 0.5984) x2

Results
- V: 324.9 Å³ per cell
- Total moment: 0.0 μB/cell
- ΔE_f: 18 meV/atom
- Relative energy among the computed polymorphs: 0 meV/atom

=====

VASP calculation (PBE) on a relaxed CsRb6 crystal.

abc: 7.3112 7.3112 13.0481
angles: 90.00 90.00 90.00
Space group P4/mmm (No. 123)
One atom of each set of equivalent atoms:
Cs (0.0000, 0.0000, 0.0000) x1
Rb (0.0000, 0.0000, 0.5000) x1
Rb (0.0000, 0.5000, 0.2738) x4
Rb (0.5000, 0.5000, 0.0000) x1

Results
- V: 697.5 Å³ per cell
- Total moment: 0.0 μB/cell
- ΔE_f: 46 meV/atom
- Relative energy among the computed polymorphs: 16 meV/atom

=====

VASP calculation (PBE) on a relaxed RbGe2O crystal.

abc: 5.2317 5.2317 15.1389
angles: 90.00 90.00 90.00
Space group I4_1/amd (No. 141, origin choice 2)
One atom of each set of equivalent atoms:
Rb (0.0000, 0.2500, 0.3750) x4
Ge (0.0000, 0.0000, 0.0000) x8
O (0.0000, 0.2500, 0.8750) x4

Results
- Formation energy (no corrections): -3.910 kcal/mol of atoms
- V: 414.4 Å³ per cell
- Total moment: 0.0 μB/cell

=====

VASP calculation (PBE) on a relaxed TaHg3S crystal.

abc: 5.1184 5.1184 5.1184
angles: 90.00 90.00 90.00
Space group Pm-3m (No. 221)
One atom of each set of equivalent atoms:
Ta (0.0000, 0.0000, 0.0000) x1
Hg (0.0000, 0.5000, 0.5000) x3
S (0.5000, 0.5000, 0.5000) x1

Results
- Formation energy (no corrections): 30.367 kcal/mol of atoms
- V: 134.1 Å³ per cell
- Total moment: 3.3 μB/cell
- Relative energy among the computed polymorphs: 210 meV/atom

=====

VASP calculation (PBE) on a relaxed Hf4Zr2Tl crystal.

abc: 8.2800 8.2800 4.9730
angles: 90.00 90.00 90.00
Space group P4_2/mnm (No. 136)
One atom of each set of equivalent atoms:
Hf (0.1095, 0.3710, 0.0000) x8
Zr (0.1639, 0.1639, 0.5000) x4
Tl (0.0000, 0.0000, 0.0000) x2

Results
- V: 340.9 Å³ per cell
- Total moment: 0.0 μB/cell
- ΔE_f: 385 meV/atom
- Relative energy among the computed polymorphs: 37 meV/atom

=====

VASP calculation (PBE) on a relaxed Ce6SiSb3 crystal.

abc: 7.2166 8.5018 12.6011
angles: 90.00 124.58 90.00
Space group P2_1/c (No. 14)
One atom of each set of equivalent atoms:
Ce (0.0560, 0.0649, 0.2396) x4
Ce (0.2015, 0.6885, 0.0629) x4
Ce (0.4009, 0.1671, 0.0610) x4
Si (0.0000, 0.0000, 0.0000) x2
Sb (0.3100, 0.1240, 0.7473) x4
Sb (0.5000, 0.0000, 0.5000) x2

Results
- Formation energy (no corrections): -13.836 kcal/mol of atoms
- V: 636.5 Å³ per cell
- Total moment: 19.0 μB/cell

=====

VASP calculation (PBE) on a relaxed Ho6Sc12Sn crystal.

abc: 11.6457 11.6457 13.0214
angles: 90.00 90.00 120.00
Space group R-3 (No. 148, hexagonal axes)
One atom of each set of equivalent atoms:
Ho (0.0264, 0.5948, 0.2138) x18
Sc (0.0518, 0.8707, 0.3083) x18
Sc (0.0636, 0.1904, 0.9033) x18
Sn (0.0000, 0.0000, 0.5000) x3

Results
- V: 1529.4 Å³ per cell
- Total moment: 0.1 μB/cell
- ΔE_f: 66 meV/atom

=====

VASP calculation (PBE) on a relaxed YP2Ir5 crystal.

abc: 3.9309 6.8556 9.3693
angles: 90.00 90.00 90.00
Space group Immm (No. 71)
One atom of each set of equivalent atoms:
Y (0.0000, 0.0000, 0.0000) x2
P (0.0000, 0.5000, 0.2478) x4
Ir (0.0000, 0.2056, 0.3533) x8
Ir (0.0000, 0.5000, 0.0000) x2

Results
- V: 252.5 Å³ per cell
- Total moment: 0.0 μB/cell
- ΔE_f: -658 meV/atom